! ReRhCl2, optimized geometry, DFT PBE-GGA; values from VASP
&SYSTEM
  ibrav = 0, nat = 4, ntyp = 3
/
ATOMIC_SPECIES
Re 186.21 Re.upf
Rh 102.91 Rh.upf
Cl 35.45 Cl.upf
ATOMIC_POSITIONS crystal
Re 0.000 0.000 0.000
Rh 0.000 0.000 0.500
Cl 0.500 0.500 0.235
Cl 0.500 0.500 0.765
CELL_PARAMETERS angstrom
1.424 -2.687 0.000
1.424 2.687 0.000
0.000 0.000 8.447
! DOS at the Fermi energy (states/eV per cell): 5.59
! Total DFT energy (no corrections) (eV per atom): -5.166
! SG: Cmmm, No. 65
! Magnetization (μB/f.u.): 0.00
! Raw formation energy (eV per atom): 0.707